# SmSnAs PBE-GGA optimized geometry
data_SmSnAs
_symmetry_space_group_name_H-M 'R -3 m'
_symmetry_Int_Tables_number 166
_symmetry_space_group_name_Hall '-R 3 2"'
_cell_length_a 5.1387
_cell_length_b 5.1387
_cell_length_c 22.9809
_cell_angle_alpha 90.00
_cell_angle_beta 90.00
_cell_angle_gamma 120.00
loop_
_atom_site_label
_atom_site_type_symbol
_atom_site_fract_x
_atom_site_fract_y
_atom_site_fract_z
Sm1 Sm 0.0000 0.0000 0.0961
Sn1 Sn 0.0000 0.0000 0.3399
As1 As 0.0000 0.0000 0.2218
# Formation energy, eV/atom: -0.718

# Sr4SmTh3As8 PBE-GGA optimized geometry
data_Sr4SmTh3As8
_symmetry_space_group_name_H-M 'R -3 m'
_symmetry_Int_Tables_number 166
_symmetry_space_group_name_Hall '-R 3 2"'
_cell_length_a 8.7167
_cell_length_b 8.7167
_cell_length_c 21.6201
_cell_angle_alpha 90.00
_cell_angle_beta 90.00
_cell_angle_gamma 120.00
loop_
_atom_site_label
_atom_site_type_symbol
_atom_site_fract_x
_atom_site_fract_y
_atom_site_fract_z
Sr1 Sr 0.0000 0.0000 0.0000
Sr2 Sr 0.0000 0.5000 0.0000
Sm1 Sm 0.0000 0.0000 0.5000
Th1 Th 0.0000 0.5000 0.5000
As1 As 0.0000 0.0000 0.2423
As2 As 0.0014 0.5007 0.7575
# Formation energy, eV/atom: -1.317